Below is a relaxed structure of UVPb2O6, with properties calculated at the PBE+U level.

extended XYZ file:
```
10
Lattice="5.877 0.063 -0.053 0.064 5.817 -0.013 2.933 2.928 4.176" Properties=species:S:1:pos:R:3 pbc="T T T"
Pb 5.981 3.011 1.961
Pb 2.893 5.796 2.148
O 4.753 4.192 -0.051
O 4.246 1.253 0.233
O 2.697 3.176 2.108
O 4.628 7.555 3.877
O 4.121 4.616 4.161
O 6.177 5.632 2.002
V 0.000 0.000 0.000
U 2.970 2.940 -0.033
```

Calculated values
- Volume: 14.39 Å³ per atom
- Final energy: -7.690 eV per atom